Record 1
The following is a DFT calculation (PBE-GGA) of a relaxed structure of NaSmRh4.

Cell: 5.3225 5.3225 5.3225 Å, 60.00 60.00 60.00°
Element x y z (fractional)
Na 0.0000 0.0000 0.0000
Rh 0.6252 0.6252 0.1245
Rh 0.6252 0.1245 0.6252
Rh 0.6252 0.6252 0.6252
Rh 0.1245 0.6252 0.6252
Sm 0.2500 0.2500 0.2500

VASP energy = -6.224 eV/atom
size of the total moment = 0.003 μB per atom

***

Record 2
The following is a DFT calculation (PBE-GGA) of a relaxed structure of Ba2LiHg6Pd.

Cell: 7.4319 7.4335 7.4206 Å, 60.04 60.05 90.13°
Element x y z (fractional)
Ba 0.2501 0.7499 0.5000
Ba 0.7499 0.2501 0.5000
Li 0.5000 0.5000 0.0000
Hg 0.2576 0.7424 0.0000
Hg 0.7423 0.7423 0.9998
Hg 0.2579 0.2579 0.4844
Hg 0.7424 0.2576 0.0000
Hg 0.2577 0.2577 0.0002
Hg 0.7421 0.7421 0.5156
Pd 0.0000 0.0000 0.0000

VASP energy = -1.636 eV/atom
size of the total moment = 0.000 μB per atom

***

Record 3
The following is a DFT calculation (PBE-GGA) of a relaxed structure of CdGeAu5.

Cell: 4.4052 4.4052 6.9893 Å, 90.00 90.00 90.00°
Element x y z (fractional)
Cd 0.0000 0.0000 0.0000
Ge 0.0000 0.0000 0.5000
Au 0.5000 0.0000 0.7178
Au 0.0000 0.5000 0.7178
Au 0.5000 0.5000 0.0000
Au 0.0000 0.5000 0.2822
Au 0.5000 0.0000 0.2822

VASP energy = -3.146 eV/atom
size of the total moment = 0.000 μB per atom

***

Record 4
The following is a DFT calculation (PBE-GGA) of a relaxed structure of Ac4ErTh3P8.

Cell: 8.4987 8.5674 8.4989 Å, 119.73 120.00 90.00°
Element x y z (fractional)
Ac 0.5000 0.0000 0.0000
Ac 0.5000 0.0000 0.5000
Ac 0.0000 0.0000 0.0000
Ac 0.0000 0.0000 0.5000
Er 0.0000 0.5000 0.0000
Th 0.5000 0.5000 0.0000
Th 0.5000 0.5000 0.5000
Th 0.0000 0.5000 0.5000
P 0.2410 0.7273 0.9863
P 0.2410 0.7273 0.4821
P 0.2569 0.2707 0.5138
P 0.7453 0.7273 0.9863
P 0.2547 0.2727 0.0137
P 0.7431 0.7293 0.4862
P 0.7590 0.2727 0.5179
P 0.7590 0.2727 0.0137

VASP energy = -6.919 eV/atom
size of the total moment = 0.000 μB per atom

***

Record 5
The following is a DFT calculation (PBE-GGA) of a relaxed structure of TmLuCdGe.

Cell: 5.0647 5.0647 5.0647 Å, 60.00 60.00 60.00°
Element x y z (fractional)
Ge 0.0000 0.0000 0.0000
Lu 0.2500 0.2500 0.2500
Tm 0.7500 0.7500 0.7500
Cd 0.5000 0.5000 0.5000

VASP energy = -4.049 eV/atom
size of the total moment = 0.000 μB per atom

***

Record 6
The following is a DFT calculation (PBE-GGA) of a relaxed structure of FeCuAg2.

Cell: 5.3831 5.3831 5.3831 Å, 149.38 128.33 61.26°
Element x y z (fractional)
Ag 0.0054 0.0054 0.0000
Ag 0.4946 0.4946 0.0000
Cu 0.2500 0.7500 0.5000
Fe 0.7500 0.2500 0.5000

energy above the lowest structure with this stoichiometry = 154 meV/atom
VASP energy = -4.197 eV/atom
size of the total moment = 0.745 μB per atom